No. 1
KPu2C2N6: optimized geometry, PBE-GGA.

Values from the calculation:
Formation energy (no corrections) ... -4.68 eV/f.u.
Size of the total moment ... 7.000 μB/f.u.
Crystal system ... monoclinic
Energy ... -9.35 eV per atom

Lattice parameters (Å, degrees): 6.000 5.992 5.907 113.57 90.01 59.93
Positions (direct):
Pu: 0.826 0.347 0.802
N: 0.074 0.852 0.634
N: 0.015 0.587 0.815
N: 0.602 0.413 0.185
N: 0.398 0.587 0.815
Pu: 0.174 0.653 0.198
N: 0.926 0.148 0.366
K: 0.500 0.000 0.500
C: 0.838 0.324 0.252
N: 0.985 0.413 0.185
C: 0.162 0.676 0.748

No. 2
KPu3C4N12: optimized geometry, PBE-GGA.

Values from the calculation:
Formation energy (no corrections) ... -2.16 eV/f.u.
Size of the total moment ... 4.925 μB/f.u.
Crystal system ... trigonal
Energy ... -9.15 eV per atom

Lattice parameters (Å, degrees): 6.516 6.516 6.516 100.20 100.20 100.20
Positions (direct):
N: 0.364 0.636 0.500
N: 0.572 0.772 0.001
N: 0.089 0.911 0.500
N: 0.001 0.572 0.772
C: 0.952 0.048 0.500
C: 0.048 0.500 0.952
N: 0.500 0.364 0.636
Pu: 0.549 0.451 0.000
N: 0.772 0.001 0.572
N: 0.999 0.228 0.428
K: 0.000 0.000 0.000
N: 0.911 0.500 0.089
Pu: 0.451 0.000 0.549
C: 0.500 0.952 0.048
N: 0.228 0.428 0.999
C: 0.500 0.500 0.500
N: 0.636 0.500 0.364
N: 0.428 0.999 0.228
Pu: 0.000 0.549 0.451
N: 0.500 0.089 0.911

No. 3
K2Re3CS5N: optimized geometry, PBE-GGA.

Values from the calculation:
Formation energy (no corrections) ... -7.96 eV/f.u.
Size of the total moment ... 0.000 μB/f.u.
Crystal system ... orthorhombic
Energy ... -7.14 eV per atom

Lattice parameters (Å, degrees): 9.339 10.324 11.515 90.00 90.00 90.00
Positions (direct):
N: 0.920 0.321 0.500
S: 0.650 0.408 0.789
Re: 0.581 0.607 0.886
S: 0.491 0.712 0.500
Re: 0.419 0.107 0.386
N: 0.920 0.179 0.000
Re: 0.336 0.897 0.500
K: 0.955 0.250 0.750
K: 0.775 0.928 0.000
C: 0.167 0.763 0.500
S: 0.350 0.908 0.711
C: 0.167 0.737 0.000
S: 0.509 0.288 0.500
S: 0.199 0.405 0.000
S: 0.290 0.250 0.750
K: 0.225 0.072 0.000
C: 0.833 0.237 0.500
N: 0.080 0.679 0.500
S: 0.491 0.788 0.000
Re: 0.581 0.893 0.386
Re: 0.664 0.103 0.500
S: 0.509 0.212 0.000
S: 0.290 0.250 0.250
S: 0.801 0.595 0.000
C: 0.833 0.263 0.000
S: 0.710 0.750 0.750
S: 0.350 0.908 0.289
K: 0.775 0.572 0.500
Re: 0.581 0.607 0.114
S: 0.710 0.750 0.250
K: 0.225 0.428 0.500
Re: 0.419 0.393 0.886
Re: 0.419 0.107 0.614
S: 0.650 0.408 0.211
Re: 0.664 0.397 0.000
K: 0.045 0.750 0.750
S: 0.350 0.592 0.211
Re: 0.419 0.393 0.114
S: 0.650 0.092 0.711
S: 0.199 0.095 0.500
Re: 0.336 0.603 0.000
K: 0.045 0.750 0.250
S: 0.650 0.092 0.289
S: 0.801 0.905 0.500
N: 0.080 0.821 0.000
Re: 0.581 0.893 0.614
K: 0.955 0.250 0.250
S: 0.350 0.592 0.789

No. 4
K2Re3C2Se5N2: optimized geometry, PBE-GGA.

Values from the calculation:
Formation energy (no corrections) ... -6.67 eV/f.u.
Size of the total moment ... 0.000 μB/f.u.
Crystal system ... monoclinic
Energy ... -7.05 eV per atom

Lattice parameters (Å, degrees): 13.467 9.820 12.665 57.99 90.00 90.00
Positions (direct):
Se: 0.423 0.927 0.021
Se: 0.858 0.492 0.308
Re: 0.135 0.445 0.521
C: 0.714 0.611 0.458
Re: 0.635 0.555 0.979
Se: 0.415 0.157 0.183
C: 0.544 0.253 0.365
Re: 0.970 0.316 0.495
C: 0.786 0.611 0.958
Se: 0.077 0.927 0.521
Re: 0.518 0.381 0.174
Se: 0.118 0.383 0.350
Re: 0.365 0.445 0.021
Se: 0.142 0.508 0.692
Se: 0.358 0.508 0.192
N: 0.941 0.179 0.974
Se: 0.325 0.738 0.859
Se: 0.618 0.617 0.150
K: 0.562 0.283 0.650
Se: 0.175 0.738 0.359
Re: 0.470 0.684 0.005
N: 0.872 0.640 0.951
Se: 0.585 0.843 0.817
Re: 0.982 0.381 0.674
Re: 0.530 0.316 0.995
C: 0.456 0.747 0.635
K: 0.665 0.897 0.515
Re: 0.018 0.619 0.326
N: 0.128 0.360 0.049
K: 0.438 0.717 0.350
N: 0.059 0.821 0.026
Se: 0.642 0.492 0.808
Se: 0.923 0.073 0.479
N: 0.372 0.360 0.549
Se: 0.382 0.383 0.850
Se: 0.882 0.617 0.650
Se: 0.085 0.157 0.683
K: 0.165 0.103 0.985
C: 0.044 0.747 0.135
K: 0.335 0.103 0.485
N: 0.628 0.640 0.451
N: 0.559 0.179 0.474
K: 0.938 0.283 0.150
Se: 0.915 0.843 0.317
Se: 0.675 0.262 0.141
Re: 0.030 0.684 0.505
C: 0.956 0.253 0.865
Re: 0.482 0.619 0.826
C: 0.286 0.389 0.542
K: 0.835 0.897 0.015
C: 0.214 0.389 0.042
Se: 0.825 0.262 0.641
Se: 0.577 0.073 0.979
Re: 0.865 0.555 0.479
K: 0.062 0.717 0.850
N: 0.441 0.821 0.526

No. 5
K2SbCN: optimized geometry, PBE-GGA.

Values from the calculation:
Formation energy (no corrections) ... 6.38 eV/f.u.
Size of the total moment ... 2.232 μB/f.u.
Crystal system ... tetragonal
Energy ... -3.50 eV per atom

Lattice parameters (Å, degrees): 5.923 4.221 5.923 90.00 90.00 90.00
Positions (direct):
K: 0.000 0.000 0.500
C: 0.000 0.000 0.000
N: 0.500 0.500 0.500
Sb: 0.000 0.500 0.000
K: 0.500 0.000 0.000

No. 6
KCSe2N: optimized geometry, PBE-GGA.

Values from the calculation:
Formation energy (no corrections) ... 1.45 eV/f.u.
Size of the total moment ... 0.000 μB/f.u.
Crystal system ... tetragonal
Energy ... -4.83 eV per atom

Lattice parameters (Å, degrees): 6.346 6.346 2.530 90.00 90.00 90.00
Positions (direct):
N: 0.000 0.000 0.500
Se: 0.000 0.500 0.000
K: 0.500 0.500 0.500
Se: 0.500 0.000 0.000
C: 0.000 0.000 0.000

No. 7
KC2SeN: optimized geometry, PBE-GGA.

Values from the calculation:
Formation energy (no corrections) ... 19.45 eV/f.u.
Size of the total moment ... 6.000 μB/f.u.
Crystal system ... tetragonal
Energy ... -2.38 eV per atom

Lattice parameters (Å, degrees): 5.667 6.403 5.667 90.00 90.00 90.00
Positions (direct):
C: 0.500 0.000 0.000
Se: 0.000 0.500 0.000
K: 0.000 0.000 0.000
C: 0.000 0.000 0.500
N: 0.500 0.500 0.500

No. 8
KCSe2N: optimized geometry, PBE-GGA.

Values from the calculation:
Formation energy (no corrections) ... 16.08 eV/f.u.
Size of the total moment ... 1.872 μB/f.u.
Crystal system ... tetragonal
Energy ... -1.91 eV per atom

Lattice parameters (Å, degrees): 5.943 5.943 4.870 90.00 90.00 90.00
Positions (direct):
Se: 0.000 0.500 0.000
C: 0.500 0.500 0.500
Se: 0.500 0.000 0.000
N: 0.000 0.000 0.500
K: 0.000 0.000 0.000

No. 9
KSmCN2: optimized geometry, PBE-GGA.

Values from the calculation:
Formation energy (no corrections) ... -1.91 eV/f.u.
Size of the total moment ... 0.000 μB/f.u.
Crystal system ... orthorhombic
Energy ... -6.72 eV per atom

Lattice parameters (Å, degrees): 5.720 5.063 7.198 90.01 90.00 90.00
Positions (direct):
Sm: 0.455 0.000 0.250
Sm: 0.545 0.000 0.750
N: 0.213 0.000 0.539
N: 0.213 0.000 0.961
N: 0.787 0.000 0.039
C: 0.000 0.000 0.500
K: 0.095 0.500 0.750
N: 0.787 0.000 0.461
C: 0.000 0.000 0.000
K: 0.905 0.500 0.250

No. 10
KSr2CN: optimized geometry, PBE-GGA.

Values from the calculation:
Formation energy (no corrections) ... 5.43 eV/f.u.
Size of the total moment ... 1.999 μB/f.u.
Crystal system ... tetragonal
Energy ... -3.32 eV per atom

Lattice parameters (Å, degrees): 5.212 5.188 5.212 90.00 90.00 90.00
Positions (direct):
Sr: 0.000 0.000 0.500
N: 0.500 0.500 0.500
K: 0.000 0.500 0.000
Sr: 0.500 0.000 0.000
C: 0.000 0.000 0.000

No. 11
KSrCN2: optimized geometry, PBE-GGA.

Values from the calculation:
Formation energy (no corrections) ... -2.81 eV/f.u.
Size of the total moment ... 0.000 μB/f.u.
Crystal system ... monoclinic
Energy ... -6.29 eV per atom

Lattice parameters (Å, degrees): 5.683 7.382 7.895 122.65 90.00 90.00
Positions (direct):
N: 0.213 0.045 0.022
Sr: 0.500 0.000 0.750
N: 0.213 0.955 0.478
N: 0.787 0.045 0.522
K: 0.897 0.500 0.750
C: 0.000 0.000 0.000
C: 0.000 0.000 0.500
K: 0.103 0.500 0.250
Sr: 0.500 0.000 0.250
N: 0.787 0.955 0.978

No. 12
KTcCN2: optimized geometry, PBE-GGA.

Values from the calculation:
Formation energy (no corrections) ... 19.92 eV/f.u.
Size of the total moment ... 0.000 μB/f.u.
Crystal system ... tetragonal
Energy ... -3.48 eV per atom

Lattice parameters (Å, degrees): 4.024 4.066 4.024 90.00 90.00 90.00
Positions (direct):
N: 0.500 0.000 0.000
C: 0.000 0.500 0.000
Tc: 0.500 0.500 0.500
N: 0.000 0.000 0.500
K: 0.000 0.000 0.000

No. 13
KTm2C2N6: optimized geometry, PBE-GGA.

Values from the calculation:
Formation energy (no corrections) ... -4.77 eV/f.u.
Size of the total moment ... 0.729 μB/f.u.
Crystal system ... monoclinic
Energy ... -7.56 eV per atom

Lattice parameters (Å, degrees): 6.020 5.922 6.061 112.22 89.97 59.49
Positions (direct):
N: 0.394 0.587 0.816
K: 0.500 0.000 0.500
C: 0.162 0.677 0.751
N: 0.076 0.848 0.635
C: 0.838 0.323 0.249
N: 0.981 0.414 0.184
N: 0.924 0.152 0.365
N: 0.606 0.413 0.184
Tm: 0.828 0.344 0.800
N: 0.019 0.586 0.816
Tm: 0.172 0.656 0.200

No. 14
KWCN2: optimized geometry, PBE-GGA.

Values from the calculation:
Formation energy (no corrections) ... 3.22 eV/f.u.
Size of the total moment ... 1.140 μB/f.u.
Crystal system ... tetragonal
Energy ... -7.34 eV per atom

Lattice parameters (Å, degrees): 4.051 4.215 4.051 90.00 90.00 90.00
Positions (direct):
C: 0.000 0.500 0.000
W: 0.000 0.000 0.000
K: 0.500 0.500 0.500
N: 0.500 0.000 0.000
N: 0.000 0.000 0.500

No. 15
KZnCN2: optimized geometry, PBE-GGA.

Values from the calculation:
Formation energy (no corrections) ... 0.20 eV/f.u.
Size of the total moment ... 0.000 μB/f.u.
Crystal system ... orthorhombic
Energy ... -5.61 eV per atom

Lattice parameters (Å, degrees): 5.338 4.739 6.755 90.00 90.00 90.00
Positions (direct):
N: 0.234 0.000 0.000
N: 0.766 0.000 0.500
N: 0.234 0.000 0.500
K: 0.006 0.500 0.750
Zn: 0.502 0.000 0.750
C: 0.000 0.000 0.000
Zn: 0.498 0.000 0.250
K: 0.994 0.500 0.250
N: 0.766 0.000 0.000
C: 0.000 0.000 0.500

No. 16
K2ZnC4N4: optimized geometry, PBE-GGA.

Values from the calculation:
Formation energy (no corrections) ... -1.54 eV/f.u.
Size of the total moment ... 0.000 μB/f.u.
Crystal system ... cubic
Energy ... -6.84 eV per atom

Lattice parameters (Å, degrees): 8.968 8.968 8.968 60.00 60.00 60.00
Positions (direct):
N: 0.855 0.855 0.435
N: 0.855 0.855 0.855
C: 0.908 0.908 0.275
C: 0.908 0.908 0.908
K: 0.125 0.625 0.625
N: 0.395 0.395 0.395
Zn: 0.000 0.000 0.000
N: 0.395 0.395 0.815
K: 0.625 0.625 0.125
C: 0.342 0.975 0.342
N: 0.435 0.855 0.855
N: 0.815 0.395 0.395
N: 0.395 0.815 0.395
N: 0.855 0.435 0.855
C: 0.275 0.908 0.908
C: 0.342 0.342 0.342
Zn: 0.250 0.250 0.250
K: 0.625 0.125 0.625
C: 0.908 0.275 0.908
K: 0.625 0.625 0.625
C: 0.342 0.342 0.975
C: 0.975 0.342 0.342

No. 17
KZnC2N: optimized geometry, PBE-GGA.

Values from the calculation:
Formation energy (no corrections) ... 12.46 eV/f.u.
Size of the total moment ... 2.613 μB/f.u.
Crystal system ... tetragonal
Energy ... -3.34 eV per atom

Lattice parameters (Å, degrees): 4.504 3.682 4.504 90.00 90.00 90.00
Positions (direct):
C: 0.000 0.000 0.500
Zn: 0.000 0.500 0.000
N: 0.000 0.000 0.000
C: 0.500 0.000 0.000
K: 0.500 0.500 0.500

No. 18
KNa2C: optimized geometry, PBE-GGA.

Values from the calculation:
Formation enthalpy at 0 K ... 4.4 eV per formula unit
Size of the total moment ... 1.087 μB/f.u.
Crystal system ... tetragonal
Energy ... -2.15 eV per atom

Lattice parameters (Å, degrees): 7.506 7.506 7.793 61.21 61.21 90.00
Positions (direct):
K: 0.000 0.000 0.000
Na: 0.375 0.125 0.250
C: 0.500 0.500 0.000
Na: 0.375 0.625 0.750
Na: 0.875 0.625 0.750
Na: 0.375 0.625 0.250
C: 0.250 0.750 0.500
K: 0.750 0.250 0.500

No. 19
K2NaC: optimized geometry, PBE-GGA.

Values from the calculation:
Formation enthalpy at 0 K ... 4.1 eV per formula unit
Size of the total moment ... 1.112 μB/f.u.
Crystal system ... tetragonal
Energy ... -2.16 eV per atom

Lattice parameters (Å, degrees): 11.230 11.230 8.328 47.61 47.61 90.00
Positions (direct):
C: 0.500 0.500 0.000
Na: 0.750 0.250 0.500
K: 0.444 0.125 0.250
K: 0.375 0.556 0.750
K: 0.875 0.694 0.750
C: 0.250 0.750 0.500
Na: 0.000 0.000 0.000
K: 0.306 0.625 0.250

No. 20
KNaNb2C: optimized geometry, PBE-GGA.

Values from the calculation:
Formation enthalpy at 0 K ... 3.8 eV per formula unit
Size of the total moment ... 1.509 μB/f.u.
Crystal system ... tetragonal
Energy ... -5.60 eV per atom

Lattice parameters (Å, degrees): 4.325 5.981 4.325 90.00 90.00 90.00
Positions (direct):
Nb: 0.000 0.000 0.500
Nb: 0.500 0.000 0.000
Na: 0.500 0.500 0.500
K: 0.000 0.500 0.000
C: 0.000 0.000 0.000